Computed, not measured: a relaxed Ce4IrSeI2 crystal at the PBE level of DFT.

Output
- formation energy (no corrections) (kcal/mol of atoms) = -25.17

```
Ce4IrSeI2
1.0
4.138 0.000 0.000
0.000 7.558 0.220
0.000 -2.566 7.522
Ce I Ir Se
4 2 1 1
Direct
0.000 0.714 0.193
0.500 0.756 0.792
0.000 0.286 0.807
0.500 0.244 0.208
0.000 0.500 0.500
0.500 0.000 0.500
0.500 0.500 0.000
0.000 0.000 0.000
```

Computed, not measured: a relaxed Sc3BiMo crystal at the PBE level of DFT.

Output
- energy relative to the lowest polymorph listed for this composition (eV/f.u.) = 0.00

```
Sc3BiMo
1.0
5.063 0.000 0.000
0.000 5.063 0.000
0.000 0.000 5.063
Mo Bi Sc
1 1 3
Direct
0.000 0.000 0.000
0.500 0.500 0.500
0.000 0.000 0.500
0.000 0.500 0.000
0.500 0.000 0.000
```

Computed, not measured: a relaxed Cd4TcIr crystal at the PBE level of DFT.

Output
- calculated total energy (eV/cell) = -18.8

```
Cd4TcIr
1.0
-4.036 -3.652 -0.241
-5.146 1.666 -0.649
-2.581 -0.901 -4.713
Cd Tc Ir
4 1 1
Direct
0.375 0.875 0.375
0.875 0.375 0.375
0.375 0.375 0.875
0.375 0.375 0.375
0.000 0.000 0.000
0.750 0.750 0.750
```

Computed, not measured: a relaxed VNiMo crystal at the PBE level of DFT.

Output
- energy relative to the lowest polymorph listed for this composition (eV/f.u.) = 0.19

```
VNiMo
1.0
-0.912 -2.056 1.266
2.414 -0.738 0.541
-0.911 4.607 4.192
Ni Mo V
1 1 1
Direct
0.328 0.328 0.657
0.993 0.993 0.986
0.678 0.678 0.357
```

Computed, not measured: a relaxed Ce3NbPt12 crystal at the PBE level of DFT.

Output
- calculated total energy (eV/cell) = -114.2

```
Ce3NbPt12
1.0
-1.366 -0.849 3.808
2.028 -3.601 -0.075
13.340 7.379 6.430
Pt Ce Nb
12 3 1
Direct
0.000 0.500 0.114
0.000 0.500 0.886
0.500 0.500 0.242
0.500 0.000 0.886
0.000 0.500 0.627
0.500 0.500 0.758
0.000 0.500 0.373
0.500 0.000 0.627
0.500 0.500 0.500
0.500 0.000 0.373
0.500 0.500 0.000
0.500 0.000 0.114
0.000 0.000 0.500
0.000 0.000 0.753
0.000 0.000 0.247
0.000 0.000 0.000
```

Computed, not measured: a relaxed BaZn2Ni crystal at the PBE level of DFT.

Output
- calculated total energy (eV/cell) = -10.4

```
BaZn2Ni
1.0
4.228 0.000 0.000
0.000 4.667 -0.060
0.000 1.649 4.994
Zn Ba Ni
2 1 1
Direct
0.000 0.544 0.639
0.000 0.956 0.861
0.500 0.250 0.250
0.500 0.750 0.750
```

Computed, not measured: a relaxed LiSb2Se crystal at the PBE level of DFT.

Output
- formation energy (no corrections) (kcal/mol of atoms) = -2.82

```
LiSb2Se
1.0
5.483 0.000 0.000
0.000 4.236 0.000
0.000 0.000 4.236
Se Sb Li
1 2 1
Direct
0.500 0.500 0.000
0.000 0.500 0.500
0.000 0.000 0.000
0.500 0.000 0.500
```

Computed, not measured: a relaxed LaPm2Pr8 crystal at the PBE level of DFT.

Output
- energy relative to the lowest polymorph listed for this composition (eV/f.u.) = 0.00

```
LaPm2Pr8
1.0
5.515 0.000 -1.675
-1.043 7.723 -3.435
-0.086 -0.422 9.636
Pr Pm La
8 2 1
Direct
0.639 0.435 0.279
0.160 0.160 0.320
0.840 0.840 0.680
0.000 0.294 0.000
0.361 0.156 0.721
0.361 0.565 0.721
0.639 0.844 0.279
0.000 0.706 0.000
0.800 0.300 0.599
0.200 0.700 0.401
0.500 0.000 0.000
```

Computed, not measured: a relaxed Ac12IrPt6 crystal at the PBE level of DFT.

Output
- calculated total energy (eV/cell) = -109.8

```
Ac12IrPt6
1.0
-8.295 2.582 2.140
-1.220 -1.646 -8.709
-0.276 -8.392 3.091
Ac Ir Pt
12 1 6
Direct
0.681 0.047 0.915
0.416 0.179 0.582
0.953 0.085 0.319
0.418 0.584 0.821
0.085 0.319 0.953
0.915 0.681 0.047
0.179 0.582 0.416
0.582 0.416 0.179
0.584 0.821 0.418
0.319 0.953 0.085
0.047 0.915 0.681
0.821 0.418 0.584
0.000 0.000 0.000
0.866 0.685 0.383
0.315 0.617 0.134
0.383 0.866 0.685
0.685 0.383 0.866
0.134 0.315 0.617
0.617 0.134 0.315
```

Computed, not measured: a relaxed CoSi2P crystal at the PBE level of DFT.

Output
- formation energy (no corrections) (kcal/mol of atoms) = 8.23
- energy relative to the lowest polymorph listed for this composition (eV/f.u.) = 1.97

```
CoSi2P
1.0
-2.033 2.033 -1.441
-0.285 -2.611 -3.281
-2.932 -1.759 1.655
Si P Co
2 1 1
Direct
0.000 0.000 0.000
0.500 0.500 0.000
0.000 0.500 0.500
0.500 0.000 0.500
```

Computed, not measured: a relaxed ThNpBi crystal at the PBE level of DFT.

Output
- calculated total energy (eV/cell) = -48.1

```
ThNpBi
1.0
5.241 2.147 -2.390
2.122 5.251 -2.390
-5.387 -5.413 11.109
Np Th Bi
2 2 2
Direct
0.297 0.297 0.562
0.703 0.703 0.438
0.228 0.228 0.867
0.772 0.772 0.133
0.824 0.824 0.755
0.176 0.176 0.245
```

Computed, not measured: a relaxed TmCu2Ni crystal at the PBE level of DFT.

Output
- energy relative to the lowest polymorph listed for this composition (eV/f.u.) = 0.66

```
TmCu2Ni
1.0
-3.726 -0.504 -2.335
-1.409 -4.057 -1.071
-3.615 -1.669 1.933
Tm Ni Cu
1 1 2
Direct
0.000 0.000 0.000
0.500 0.500 0.500
0.750 0.750 0.750
0.250 0.250 0.250
```

Computed, not measured: a relaxed Cs2HfUS6 crystal at the PBE level of DFT.

Output
- formation energy (no corrections) (kcal/mol of atoms) = -32.13

```
Cs2HfUS6
1.0
-3.179 -5.367 4.065
4.092 -5.696 2.498
2.783 2.561 12.377
Hf S U Cs
2 12 2 4
Direct
0.408 0.408 0.775
0.592 0.592 0.225
0.796 0.288 0.120
0.288 0.796 0.120
0.606 0.606 0.636
0.394 0.394 0.364
0.204 0.712 0.880
0.606 0.153 0.636
0.153 0.606 0.636
0.847 0.394 0.364
0.204 0.204 0.880
0.394 0.847 0.364
0.712 0.204 0.880
0.796 0.796 0.120
0.500 0.500 0.500
0.000 0.000 0.000
0.288 0.288 0.137
0.712 0.712 0.863
0.127 0.127 0.618
0.873 0.873 0.382
```

Computed, not measured: a relaxed Rb2LaAsCl6 crystal at the PBE level of DFT.

Output
- formation energy (no corrections) (kcal/mol of atoms) = -36.59

```
Rb2LaAsCl6
1.0
7.512 0.000 0.000
0.000 7.512 0.000
3.756 3.756 6.636
As La Rb Cl
1 1 2 6
Direct
0.500 0.500 0.000
0.000 0.000 0.000
0.750 0.250 0.500
0.250 0.750 0.500
0.740 0.740 0.000
0.260 0.260 0.000
0.740 0.260 0.000
0.260 0.740 0.000
0.791 0.791 0.418
0.209 0.209 0.582
```

Computed, not measured: a relaxed NaPd4O8 crystal at the PBE level of DFT.

Output
- formation energy (no corrections) (kcal/mol of atoms) = -11.75
- energy relative to the lowest polymorph listed for this composition (eV/f.u.) = 0.08

```
NaPd4O8
1.0
6.091 -0.053 -1.433
-3.569 4.972 -1.303
-0.100 -0.158 6.574
Pd O Na
4 8 1
Direct
0.255 0.756 0.011
0.745 0.244 0.989
0.249 0.249 0.000
0.751 0.751 0.000
0.323 0.982 0.820
0.673 0.493 0.166
0.829 0.999 0.828
0.171 0.001 0.172
0.162 0.503 0.180
0.677 0.018 0.180
0.838 0.497 0.820
0.327 0.507 0.834
0.000 0.500 0.500
```

Computed, not measured: a relaxed SbPdS2N crystal at the PBE level of DFT.

Output
- formation energy (no corrections) (kcal/mol of atoms) = 25.07
- energy relative to the lowest polymorph listed for this composition (eV/f.u.) = 2.08

```
SbPdS2N
1.0
5.058 0.000 0.000
0.000 5.058 0.000
0.000 0.000 3.857
S Pd Sb N
2 1 1 1
Direct
0.000 0.500 0.000
0.500 0.000 0.000
0.500 0.500 0.500
0.000 0.000 0.000
0.000 0.000 0.500
```

Computed, not measured: a relaxed SrDyMgHg crystal at the PBE level of DFT.

Output
- calculated total energy (eV/cell) = -9.0

```
SrDyMgHg
1.0
5.505 0.000 0.000
2.753 4.768 0.000
2.753 1.589 4.495
Mg Dy Sr Hg
1 1 1 1
Direct
0.000 0.000 0.000
0.750 0.750 0.750
0.250 0.250 0.250
0.500 0.500 0.500
```

Computed, not measured: a relaxed MgZrPdPb crystal at the PBE level of DFT.

Output
- calculated total energy (eV/cell) = -20.2

```
MgZrPdPb
1.0
-4.890 -0.131 -0.187
-2.249 -1.961 -3.880
-2.353 -4.270 0.435
Mg Pd Zr Pb
1 1 1 1
Direct
0.750 0.750 0.750
0.000 0.000 0.000
0.250 0.250 0.250
0.500 0.500 0.500
```

Computed, not measured: a relaxed InHPd3 crystal at the PBE level of DFT.

Output
- energy relative to the lowest polymorph listed for this composition (eV/f.u.) = 1.23

```
InHPd3
1.0
4.036 0.000 3.411
-2.018 3.495 3.411
-2.018 -3.495 3.411
Pd H In
6 2 2
Direct
0.995 0.505 0.250
0.750 0.005 0.495
0.250 0.995 0.505
0.005 0.495 0.750
0.495 0.750 0.005
0.505 0.250 0.995
0.750 0.750 0.750
0.250 0.250 0.250
0.000 0.000 0.000
0.500 0.500 0.500
```

Computed, not measured: a relaxed Be2TeCl crystal at the PBE level of DFT.

Output
- formation energy (no corrections) (kcal/mol of atoms) = 3.32
- energy relative to the lowest polymorph listed for this composition (eV/f.u.) = 1.15

```
Be2TeCl
1.0
-2.009 -2.963 -0.384
2.822 0.643 2.140
-5.937 3.132 6.889
Be Te Cl
2 1 1
Direct
0.500 0.500 0.240
0.000 0.000 0.042
0.500 0.500 0.835
0.000 0.000 0.383
```

The total moment results, record by record, are as follows: 0.48; 0.00; 0.55; 0.00; 0.07; 0.00; 0.00; 0.00; 0.00; 0.00; 0.00; 0.00; 0.00; 0.00; 0.07; 0.00; 0.00; 0.00; 0.00; 0.00 μB/atom.